No. 1
{
  "formula": "Cr2RuAu",
  "functional": "GGA-PBE",
  "state": "optimized geometry",
  "cell": [[-1.511, -0.102, 4.184], [-2.348, -3.661, -0.937], [2.372, -1.730, 0.815]],
  "species": ["Au", "Cr", "Cr", "Ru"],
  "frac_coords": [[0.000, 0.500, 0.500], [0.000, 0.000, 0.000], [0.500, 0.500, 0.000], [0.500, 0.000, 0.500]],
  "dft_energy_ev_per_atom": -7.573,
  "total_magnetization_mub_per_fu": 6.16,
  "dos_at_fermi_per_ev_fu": 6.5
}



No. 2
{
  "formula": "BaAlSe2N",
  "functional": "GGA-PBE",
  "state": "optimized geometry",
  "cell": [[-1.169, -2.873, -4.383], [-0.722, -4.360, 3.050], [-3.725, 0.900, 0.404]],
  "species": ["N", "Ba", "Se", "Se", "Al"],
  "frac_coords": [[0.000, 0.000, 0.500], [0.500, 0.500, 0.500], [0.000, 0.500, 0.000], [0.500, 0.000, 0.000], [0.000, 0.000, 0.000]],
  "relative_energy_ev_per_atom": 0.0000,
  "e_form_raw_ev_per_atom": -0.64,
  "total_magnetization_mub_per_fu": 1.99,
  "dos_at_fermi_per_ev_fu": 1.5
}



No. 3
{
  "formula": "Er3ScIn3",
  "functional": "GGA-PBE",
  "state": "optimized geometry",
  "cell": [[-5.430, -0.504, 0.078], [0.772, -8.610, -1.911], [-0.127, 2.666, 8.441]],
  "species": ["Er", "Er", "Er", "Er", "Er", "Er", "Sc", "Sc", "In", "In", "In", "In", "In", "In"],
  "frac_coords": [[0.750, 0.636, 0.540], [0.750, 0.460, 0.096], [0.750, 0.904, 0.364], [0.250, 0.364, 0.460], [0.250, 0.540, 0.904], [0.250, 0.096, 0.636], [0.250, 0.667, 0.333], [0.750, 0.333, 0.667], [0.250, 0.811, 0.760], [0.250, 0.240, 0.052], [0.250, 0.948, 0.189], [0.750, 0.189, 0.240], [0.750, 0.760, 0.948], [0.750, 0.052, 0.811]],
  "dft_energy_ev_per_atom": -4.251,
  "total_magnetization_mub_per_fu": 0.00,
  "dos_at_fermi_per_ev_fu": 7.8
}



No. 4
{
  "formula": "Pa2ZnAu3",
  "functional": "GGA-PBE",
  "state": "optimized geometry",
  "cell": [[5.431, -0.918, -1.546], [-1.831, 5.195, -1.546], [0.762, 0.905, 8.738]],
  "species": ["Pa", "Pa", "Pa", "Pa", "Zn", "Zn", "Au", "Au", "Au", "Au", "Au", "Au"],
  "frac_coords": [[0.250, 0.750, 0.500], [0.755, 0.755, 0.000], [0.750, 0.250, 0.500], [0.245, 0.245, 0.000], [0.667, 0.667, 0.334], [0.333, 0.333, 0.666], [0.344, 0.827, 0.171], [0.173, 0.656, 0.829], [0.656, 0.173, 0.829], [0.827, 0.344, 0.171], [0.171, 0.171, 0.342], [0.829, 0.829, 0.658]],
  "dft_energy_ev_per_atom": -5.444,
  "total_magnetization_mub_per_fu": 1.98,
  "dos_at_fermi_per_ev_fu": 5.6
}



No. 5
{
  "formula": "Sm5Y2Bi4",
  "functional": "GGA-PBE",
  "state": "optimized geometry",
  "cell": [[-3.350, 0.580, -0.959], [-2.571, -5.664, 5.554], [3.201, 14.244, 3.936]],
  "species": ["Sm", "Sm", "Sm", "Sm", "Sm", "Y", "Y", "Bi", "Bi", "Bi", "Bi"],
  "frac_coords": [[0.172, 0.853, 0.344], [0.828, 0.147, 0.656], [0.139, 0.221, 0.278], [0.500, 0.000, 0.000], [0.861, 0.779, 0.722], [0.732, 0.640, 0.463], [0.268, 0.360, 0.537], [0.600, 0.457, 0.199], [0.050, 0.784, 0.099], [0.400, 0.543, 0.801], [0.950, 0.216, 0.901]],
  "dft_energy_ev_per_atom": -4.947,
  "total_magnetization_mub_per_fu": 0.00,
  "dos_at_fermi_per_ev_fu": 12.1
}



No. 6
{
  "formula": "TlInHg2Te4",
  "functional": "GGA-PBE",
  "state": "optimized geometry",
  "cell": [[7.477, 0.000, 0.000], [3.739, 6.344, -0.208], [3.739, 0.313, 6.339]],
  "species": ["Tl", "In", "Hg", "Hg", "Te", "Te", "Te", "Te"],
  "frac_coords": [[0.000, 0.000, 0.000], [0.500, 0.500, 0.500], [0.182, 0.318, 0.318], [0.818, 0.682, 0.682], [0.460, 0.133, 0.511], [0.104, 0.867, 0.489], [0.896, 0.511, 0.133], [0.540, 0.489, 0.867]],
  "e_form_raw_ev_per_atom": -0.22,
  "total_magnetization_mub_per_fu": 0.00
}



No. 7
{
  "formula": "Sr4LiIn3",
  "functional": "GGA-PBE",
  "state": "optimized geometry",
  "cell": [[-0.218, -5.437, 1.968], [4.897, -2.936, 0.937], [1.781, 0.415, 9.850]],
  "species": ["Sr", "Sr", "Sr", "Sr", "In", "In", "In", "Li"],
  "frac_coords": [[0.873, 0.873, 0.380], [0.377, 0.377, 0.869], [0.127, 0.127, 0.620], [0.623, 0.623, 0.131], [0.253, 0.253, 0.241], [0.747, 0.747, 0.759], [0.500, 0.500, 0.500], [0.000, 0.000, 0.000]],
  "dft_energy_ev_per_atom": -2.451,
  "total_magnetization_mub_per_fu": 0.00,
  "dos_at_fermi_per_ev_fu": 6.6
}



No. 8
{
  "formula": "Rb2ScTiO4",
  "functional": "GGA-PBE",
  "state": "optimized geometry",
  "cell": [[-0.814, 1.648, 5.282], [-6.775, 1.204, 1.541], [-1.557, -9.574, 5.709]],
  "species": ["Rb", "Rb", "Rb", "Rb", "Sc", "Sc", "Ti", "Ti", "O", "O", "O", "O", "O", "O", "O", "O"],
  "frac_coords": [[0.175, 0.000, 0.650], [0.825, 0.000, 0.350], [0.575, 0.500, 0.850], [0.925, 0.500, 0.150], [0.750, 0.500, 0.500], [0.000, 0.000, 0.000], [0.250, 0.500, 0.500], [0.500, 0.000, 0.000], [0.304, 0.846, 0.084], [0.233, 0.154, 0.916], [0.850, 0.846, 0.916], [0.612, 0.154, 0.084], [0.446, 0.654, 0.416], [0.517, 0.346, 0.584], [0.900, 0.654, 0.584], [0.138, 0.346, 0.416]],
  "e_form_raw_ev_per_atom": -2.31,
  "total_magnetization_mub_per_fu": 0.00,
  "dos_at_fermi_per_ev_fu": 3.4
}